# 1
Material: RbReSi2Te
Method: DFT, meta-GGA SCAN
State: single point on PBEsol structure

The energy relative to the elements, uncorrected is 2.19 eV per atom.

It has space group P4/mmm (No. 123), with a = 5.2352 Å, b = 5.2352 Å, c = 6.1939 Å, α = 90.00°, β = 90.00° and γ = 90.00°. Symmetry generates all atoms from Rb at (0.0000, 0.0000, 0.0000), Re at (0.5000, 0.5000, 0.0000), Si at (0.0000, 0.5000, 0.5000) and Te at (0.0000, 0.0000, 0.5000).

---

# 2
Material: RbRe3Sn
Method: DFT, meta-GGA SCAN
State: single point on PBEsol structure

The calculation puts the energy above the most stable polymorph in this dataset at 0.000 eV per atom. The value obtained for the formation energy is 2.876 eV per atom.

It has space group Pm-3m (No. 221), with a = 5.0033 Å, b = 5.0033 Å, c = 5.0033 Å, α = 90.00°, β = 90.00° and γ = 90.00°. Symmetry generates all atoms from Rb at (0.0000, 0.0000, 0.0000), Re at (0.0000, 0.5000, 0.5000) and Sn at (0.5000, 0.5000, 0.5000).

---

# 3
Material: RbRe3Sn
Method: DFT, meta-GGA SCAN
State: single point on PBEsol structure

The calculation puts the energy above the most stable polymorph in this dataset at 1.348 eV per atom. The value obtained for the formation energy is 4.224 eV per atom.

It has space group Pm-3m (No. 221), with a = 4.6925 Å, b = 4.6925 Å, c = 4.6925 Å, α = 90.00°, β = 90.00° and γ = 90.00°. Symmetry generates all atoms from Rb at (0.0000, 0.0000, 0.0000), Re at (0.0000, 0.0000, 0.5000) and Sn at (0.5000, 0.5000, 0.5000).

---

# 4
Material: Rb2Re2Tc
Method: DFT, meta-GGA SCAN
State: single point on PBEsol structure

The value obtained for the formation energy is 1.562 eV per atom.

It has space group I4/mmm (No. 139), with a = 3.4480 Å, b = 3.4480 Å, c = 23.6645 Å, α = 90.00°, β = 90.00° and γ = 90.00°. Symmetry generates all atoms from Rb at (0.0000, 0.0000, 0.1136), Re at (0.0000, 0.5000, 0.2500) and Tc at (0.0000, 0.0000, 0.5000).

---

Calculated E (eV/atom), listed in the same order as above: -27.629, -51.114, -49.766, -42.184